Below is a relaxed structure of LiBeTe, with properties calculated at the PBEsol level.

Summary:
electronic total energy: -3.091 eV per atom
formation energy from raw total energies: 0.073 eV/atom

Structure (CIF):
```
data_LiBeTe
_space_group_name_H-M_alt 'P 1'
_space_group_IT_number 1
_space_group_name_Hall 'P 1'
_cell_length_a 5.1166
_cell_length_b 5.1166
_cell_length_c 5.1166
_cell_angle_alpha 139.09
_cell_angle_beta 139.09
_cell_angle_gamma 59.24
loop_
_atom_site_label
_atom_site_fract_x
_atom_site_fract_y
_atom_site_fract_z
Li1 0.0000 0.0000 0.0000
Be1 0.2802 0.2802 0.0000
Te1 0.6971 0.6971 0.0000
```